(1)
The following is a PBE with a Hubbard U calculation of a relaxed structure of MnTlMo2F, from Alexandria via LeMat-Bulk.

## Properties
total DFT energy (no corrections): -23.450 eV per cell
crystal system: tetragonal

abc: 5.0945 5.0945 4.2346
angles: 90.00 90.00 90.00
Space group P4/mmm (No. 123)
Asymmetric unit:
1 Mn 0.0000 0.0000 0.0000 (multiplicity 1)
2 Tl 0.5000 0.5000 0.0000 (multiplicity 1)
3 Mo 0.0000 0.5000 0.5000 (multiplicity 2)
4 F 0.0000 0.0000 0.5000 (multiplicity 1)

---

(2)
The following is a PBE with a Hubbard U calculation of a relaxed structure of MnNF, from Alexandria via LeMat-Bulk.

## Properties
total DFT energy (no corrections): -84.680 eV per cell
crystal system: monoclinic

abc: 5.6817 3.2826 7.8605
angles: 90.00 90.16 90.00
Space group C2/m (No. 12)
Asymmetric unit:
1 Mn 0.1665 0.0000 0.2773 (multiplicity 4)
2 N 0.0001 0.5000 0.4184 (multiplicity 4)
3 F 0.1673 0.0000 0.8541 (multiplicity 4)

---

> Which of these has the highest total DFT energy (no corrections)?

MnTlMo2F